No. 1
This record from the Alexandria database describes Tm5CoRu4 after structural relaxation. The functional is PBE.

Computed properties:
Crystal system: tetragonal

a b c (Å): 3.3547 3.3547 16.6176
angles (deg): 90.00 90.00 90.00
Each line ends with the local moment (μB).
Atoms (fractional coordinates):
Tm 0.5000 0.5000 0.0982  -0.12
Tm 0.5000 0.5000 0.2983  0.00
Tm 0.5000 0.5000 0.5000  0.00
Tm 0.5000 0.5000 0.7017  0.00
Tm 0.5000 0.5000 0.9018  -0.12
Co 0.0000 0.0000 0.0000  0.73
Ru 0.0000 0.0000 0.1955  0.03
Ru 0.0000 0.0000 0.3990  0.02
Ru 0.0000 0.0000 0.6010  0.02
Ru 0.0000 0.0000 0.8045  0.03

=====

No. 2
This record from the Alexandria database describes Tm2CoRu after structural relaxation. The functional is PBE.

Computed properties:
Crystal system: trigonal

a b c (Å): 3.3597 3.3597 8.1956
angles (deg): 78.17 78.17 60.00
Each line ends with the local moment (μB).
Atoms (fractional coordinates):
Ru 0.5000 0.5000 0.5000  0.01
Tm 0.7485 0.7485 0.7544  -0.10
Tm 0.2515 0.2515 0.2456  -0.10
Co 0.0000 0.0000 0.0000  0.85

=====

No. 3
This record from the Alexandria database describes Tm3Co2Ru after structural relaxation. The functional is PBE.

Computed properties:
Crystal system: tetragonal

a b c (Å): 3.3204 3.3204 9.8730
angles (deg): 90.00 90.00 90.00
Each line ends with the local moment (μB).
Atoms (fractional coordinates):
Tm 0.0000 0.0000 0.0000  -0.13
Tm 0.0000 0.0000 0.6681  -0.06
Tm 0.0000 0.0000 0.3319  -0.06
Co 0.5000 0.5000 0.8383  0.32
Co 0.5000 0.5000 0.1617  0.32
Ru 0.5000 0.5000 0.5000  -0.02

=====

No. 4
This record from the Alexandria database describes Tm4CoRu after structural relaxation. The functional is PBE.

Computed properties:
Crystal system: tetragonal

a b c (Å): 7.4270 7.4270 7.4270
angles (deg): 106.93 106.93 114.68
Atoms (fractional coordinates):
Tm 0.2540 0.9521 0.6981
Tm 0.7463 0.4500 0.7037
Tm 0.7021 0.5040 0.1981
Tm 0.2000 0.9963 0.2037
Tm 0.3058 0.5040 0.8019
Tm 0.7925 0.9963 0.7963
Tm 0.7463 0.0425 0.2963
Tm 0.2540 0.5558 0.3019
Co 0.7528 0.7528 0.0000
Co 0.5028 0.0028 0.5000
Ru 0.2467 0.2467 0.0000
Ru 0.9967 0.4967 0.5000

=====

No. 5
This record from the Alexandria database describes Tm8Co2Ru after structural relaxation. The functional is PBE.

Computed properties:
Crystal system: monoclinic

a b c (Å): 5.6740 7.3443 7.3443
angles (deg): 113.53 99.97 99.97
Atoms (fractional coordinates):
Tm 0.5821 0.3371 0.0790
Tm 0.5821 0.0790 0.3371
Tm 0.1795 0.3650 0.3650
Tm 0.9908 0.2165 0.7845
Tm 0.9908 0.7845 0.2165
Tm 0.8080 0.6418 0.6418
Tm 0.3934 0.9274 0.6691
Tm 0.3934 0.6691 0.9274
Co 0.4959 0.6970 0.3143
Co 0.4959 0.3143 0.6970
Ru 0.0876 0.0022 0.0022

=====

No. 6
This record from the Alexandria database describes Tm6CoRu after structural relaxation. The functional is PBE.

Computed properties:
Crystal system: monoclinic

a b c (Å): 6.5061 6.5302 6.2568
angles (deg): 58.54 80.90 72.35
Atoms (fractional coordinates):
Tm 0.7522 0.4105 0.6582
Tm 0.7522 0.0687 0.3418
Tm 0.2478 0.9313 0.6582
Tm 0.2478 0.5895 0.3418
Tm 0.7589 0.7492 0.0000
Tm 0.2411 0.2508 0.0000
Co 0.0000 0.0000 0.0000
Ru 0.5000 0.5000 0.0000

=====

No. 7
This record from the Alexandria database describes TmVCoRu after structural relaxation. The functional is PBE.

Computed properties:
Crystal system: cubic

a b c (Å): 4.4385 4.4385 4.4385
angles (deg): 60.00 60.00 60.00
Each line ends with the local moment (μB).
Atoms (fractional coordinates):
Ru 0.7500 0.7500 0.7500  -0.01
Tm 0.5000 0.5000 0.5000  -0.12
Co 0.2500 0.2500 0.2500  0.89
V 0.0000 0.0000 0.0000  0.32

=====

No. 8
This record from the Alexandria database describes YTmCoRu after structural relaxation. The functional is PBE.

Computed properties:
Crystal system: cubic

a b c (Å): 4.7429 4.7429 4.7429
angles (deg): 60.00 60.00 60.00
Atoms (fractional coordinates):
Y 0.7500 0.7500 0.7500
Ru 0.0000 0.0000 0.0000
Tm 0.2500 0.2500 0.2500
Co 0.5000 0.5000 0.5000

=====

No. 9
This record from the Alexandria database describes YTmCoRu after structural relaxation. The functional is PBE.

Computed properties:
Crystal system: tetragonal

a b c (Å): 3.3729 3.3729 6.6417
angles (deg): 90.00 90.00 90.00
Each line ends with the local moment (μB).
Atoms (fractional coordinates):
Y 0.5000 0.5000 0.1054  -0.08
Tm 0.5000 0.5000 0.6084  -0.12
Co 0.0000 0.0000 0.8499  0.68
Ru 0.0000 0.0000 0.3642  0.00

=====

No. 10
This record from the Alexandria database describes U2Co9Ru after structural relaxation. The functional is PBE.

Computed properties:
Crystal system: tetragonal

a b c (Å): 3.7234 3.7234 10.9467
angles (deg): 90.00 90.00 90.00
Each line ends with the local moment (μB).
Atoms (fractional coordinates):
U 0.0000 0.0000 0.3270  -0.86
U 0.0000 0.0000 0.6730  -0.86
Co 0.5000 0.5000 0.0000  1.35
Co 0.5000 0.5000 0.3289  0.48
Co 0.5000 0.5000 0.6711  0.48
Co 0.5000 0.0000 0.1582  0.86
Co 0.5000 0.0000 0.5000  0.47
Co 0.5000 0.0000 0.8418  0.86
Co 0.0000 0.5000 0.1582  0.86
Co 0.0000 0.5000 0.5000  0.47
Co 0.0000 0.5000 0.8418  0.86
Ru 0.0000 0.0000 0.0000  0.88

=====

No. 11
This record from the Alexandria database describes U2Co3Ru3 after structural relaxation. The functional is PBE.

Computed properties:
Crystal system: orthorhombic

a b c (Å): 3.9055 3.9014 7.7039
angles (deg): 90.00 90.00 90.00
Atoms (fractional coordinates):
U 0.0000 0.0000 0.7546
U 0.0000 0.0000 0.2454
Co 0.5000 0.5000 0.7544
Co 0.5000 0.5000 0.2456
Co 0.5000 0.0000 0.0000
Ru 0.5000 0.0000 0.5000
Ru 0.0000 0.5000 0.0000
Ru 0.0000 0.5000 0.5000

=====

No. 12
This record from the Alexandria database describes UCoRu2 after structural relaxation. The functional is PBE.

Computed properties:
Crystal system: tetragonal

a b c (Å): 3.8660 3.9552 3.9552
angles (deg): 90.00 90.00 90.00
Atoms (fractional coordinates):
Ru 0.0000 0.0000 0.5000
Ru 0.0000 0.5000 0.0000
U 0.5000 0.5000 0.5000
Co 0.5000 0.0000 0.0000

=====

Computed calculated formation energy (eV/atom) in order:
-0.3850; 0.0479; -0.2970; -0.1817; -0.1501; -0.1677; -0.1010; -0.2682; -0.2685; -0.0882; -0.2864; -0.3038
Computed E (eV per atom) in order:
-7.042; -6.283; -6.447; -5.893; -5.537; -5.569; -7.594; -7.097; -7.098; -8.072; -9.252; -9.540